1.
Material: MoOsCl2
Method: DFT, GGA-PBE
State: optimized geometry

Cell lengths 13.3980, 2.9176, 4.5815 Å; angles 90.00, 95.40, 90.00 degrees
Last column: nearest neighbours and their distance in Å.
Space group C2/m (No. 12)
Inequivalent atoms, fractional coordinates:
Mo 0.0000 0.0000 0.0000 [2 per cell]  4 Cl 2.50, 4 Os 2.72
Os 0.0000 0.5000 0.5000 [2 per cell]  2 Cl 2.37
Cl 0.1391 0.5000 0.2161 [4 per cell]  1 Os 2.37, 2 Mo 2.50

Summary:
Its formation energy from raw total energies is 284 meV per atom. The density of states at the Fermi level comes out at 5.091 states/eV per cell. The calculation puts the total energy at -6.15 eV/atom. Its energy above the lowest structure with this stoichiometry is 387 meV per atom.

2.
Material: MoOsCl4
Method: DFT, GGA-PBE
State: optimized geometry

Cell lengths 8.0433, 8.0433, 8.0433 Å; angles 90.00, 90.00, 90.00 degrees
Last column: nearest neighbours and their distance in Å.
Space group F-43m (No. 216)
Inequivalent atoms, fractional coordinates:
Mo 0.0000 0.0000 0.0000 [4 per cell]  12 Cl 3.34, 4 Os 3.48
Os 0.2500 0.2500 0.7500 [4 per cell]  12 Cl 3.33, 4 Mo 3.48
Cl 0.1244 0.1244 0.3756 [16 per cell]  6 Cl 2.83-2.86

Summary:
Its formation energy from raw total energies is 1895 meV per atom. The density of states at the Fermi level comes out at 51.688 states/eV per cell. The calculation puts the total energy at -3.01 eV/atom.

3.
Material: Mo2OsCl
Method: DFT, GGA-PBE
State: optimized geometry

Cell lengths 2.8784, 3.9859, 6.8652 Å; angles 90.00, 90.00, 90.00 degrees
Last column: nearest neighbours and their distance in Å.
Space group Pmm2 (No. 25)
Inequivalent atoms, fractional coordinates:
Mo 0.0000 0.0000 0.0000 [1 per cell]  1 Os 2.39
Mo 0.5000 0.5000 0.1988 [1 per cell]  1 Cl 2.57, 4 Os 2.66, 6 Mo 2.81-2.88
Os 0.0000 0.0000 0.3477 [1 per cell]  5 Mo 2.39-2.66
Cl 0.5000 0.5000 0.8238 [1 per cell]  5 Mo 2.57-2.74, 2 Cl 2.88

Summary:
Its formation energy from raw total energies is 609 meV per atom. The density of states at the Fermi level comes out at 3.337 states/eV per cell. The calculation puts the total energy at -8.08 eV/atom. Its energy above the lowest structure with this stoichiometry is 363 meV per atom.

4.
Material: MoOsCl
Method: DFT, GGA-PBE
State: optimized geometry

Cell lengths 5.9986, 5.9986, 5.9986 Å; angles 90.00, 90.00, 90.00 degrees
Last column: nearest neighbours and their distance in Å.
Space group F-43m (No. 216)
Inequivalent atoms, fractional coordinates:
Mo 0.0000 0.0000 0.0000 [4 per cell]  4 Cl 2.60, 4 Os 2.60
Os 0.2500 0.2500 0.2500 [4 per cell]  4 Mo 2.60
Cl 0.2500 0.2500 0.7500 [4 per cell]  4 Mo 2.60

Summary:
Its formation energy from raw total energies is 964 meV per atom. The density of states at the Fermi level comes out at 6.483 states/eV per cell. The calculation puts the total energy at -7.01 eV/atom. Its energy above the lowest structure with this stoichiometry is 716 meV per atom.